# 1
Entry from Alexandria: CoNi at its PBEsol-relaxed geometry (SCAN).

```
data_CoNi
_cell_length_a 2.877
_cell_length_b 2.877
_cell_length_c 5.075
_cell_angle_alpha 90.00
_cell_angle_beta 90.00
_cell_angle_gamma 90.00
_space_group_name_H-M_alt 'P 1'
_space_group_IT_number 1
loop_
_space_group_symop_operation_xyz
'x,y,z'
loop_
_atom_site_label
_atom_site_type_symbol
_atom_site_fract_x
_atom_site_fract_y
_atom_site_fract_z
_atom_site_occupancy
Co1 Co 0.000 0.500 0.124 1
Co2 Co 0.500 0.000 0.876 1
Ni1 Ni 0.000 0.500 0.624 1
Ni2 Ni 0.500 0.000 0.376 1
```

Computed properties:
DFT formation energy   0.0374 eV per atom

---

# 2
Entry from Alexandria: Zr2AlZn at its PBEsol-relaxed geometry (SCAN).

```
data_Zr2AlZn
_cell_length_a 3.053
_cell_length_b 4.016
_cell_length_c 5.940
_cell_angle_alpha 90.00
_cell_angle_beta 90.00
_cell_angle_gamma 90.00
_space_group_name_H-M_alt 'P 1'
_space_group_IT_number 1
loop_
_space_group_symop_operation_xyz
'x,y,z'
loop_
_atom_site_label
_atom_site_type_symbol
_atom_site_fract_x
_atom_site_fract_y
_atom_site_fract_z
_atom_site_occupancy
Zn1 Zn 0.500 0.500 0.500 1
Zr1 Zr 0.000 0.000 0.748 1
Zr2 Zr 0.000 0.000 0.252 1
Al1 Al 0.500 0.500 0.000 1
```

Computed properties:
DFT formation energy   -0.4003 eV per atom

---

# 3
Entry from Alexandria: AlSb2W at its PBEsol-relaxed geometry (SCAN).

```
data_AlSb2W
_cell_length_a 4.164
_cell_length_b 4.164
_cell_length_c 5.369
_cell_angle_alpha 112.82
_cell_angle_beta 112.82
_cell_angle_gamma 90.00
_space_group_name_H-M_alt 'P 1'
_space_group_IT_number 1
loop_
_space_group_symop_operation_xyz
'x,y,z'
loop_
_atom_site_label
_atom_site_type_symbol
_atom_site_fract_x
_atom_site_fract_y
_atom_site_fract_z
_atom_site_occupancy
Sb1 Sb 0.750 0.250 0.500 1
Sb2 Sb 0.000 0.000 0.000 1
W1 W 0.500 0.500 0.000 1
Al1 Al 0.250 0.750 0.500 1
```

Computed properties:
Formation energy from raw total energies   0.80 eV per atom

---

Number 1: volume 10.51 Å³/atom. Number 2: volume 18.21 Å³/atom. Number 3: volume 19.46 Å³/atom.